Model i:
First-principles (GGA-PBE) data for a relaxed Nd6YTm12 crystal, as listed in Alexandria via LeMat-Bulk.

As for the space-group type: R-3m (166).

Unit cell a=8.6189 b=8.6189 c=8.6189 alpha=79.64 beta=79.64 gamma=79.64
Last column: nearest neighbours and their distance in Å.
Fractional positions:
Nd (0.2661, 0.2661, 0.6656)  1 Y 3.09, 3 Tm 3.30-3.35
Nd (0.2661, 0.6656, 0.2661)  1 Y 3.09, 3 Tm 3.30-3.35
Nd (0.3344, 0.7339, 0.7339)  1 Y 3.09, 3 Tm 3.30-3.35
Nd (0.6656, 0.2661, 0.2661)  1 Y 3.09, 3 Tm 3.30-3.35
Nd (0.7339, 0.3344, 0.7339)  1 Y 3.09, 3 Tm 3.30-3.35
Nd (0.7339, 0.7339, 0.3344)  1 Y 3.09, 3 Tm 3.30-3.35
Y (0.5000, 0.5000, 0.5000)  6 Nd 3.09
Tm (0.0127, 0.0127, 0.6954)  3 Nd 3.30-3.35, 5 Tm 3.42-3.50
Tm (0.0127, 0.6954, 0.0127)  3 Nd 3.30-3.35, 5 Tm 3.42-3.50
Tm (0.0160, 0.3628, 0.3628)  7 Tm 3.42-3.83, 5 Nd 3.55-3.65
Tm (0.3046, 0.9873, 0.9873)  3 Nd 3.30-3.35, 5 Tm 3.42-3.50
Tm (0.3628, 0.0160, 0.3628)  7 Tm 3.42-3.83, 5 Nd 3.55-3.65
Tm (0.3628, 0.3628, 0.0160)  7 Tm 3.42-3.83, 5 Nd 3.55-3.65
Tm (0.6372, 0.6372, 0.9840)  7 Tm 3.42-3.83, 5 Nd 3.55-3.65
Tm (0.6372, 0.9840, 0.6372)  7 Tm 3.42-3.83, 5 Nd 3.55-3.65
Tm (0.6954, 0.0127, 0.0127)  3 Nd 3.30-3.35, 5 Tm 3.42-3.50
Tm (0.9840, 0.6372, 0.6372)  7 Tm 3.42-3.83, 5 Nd 3.55-3.65
Tm (0.9873, 0.3046, 0.9873)  3 Nd 3.30-3.35, 5 Tm 3.42-3.50
Tm (0.9873, 0.9873, 0.3046)  3 Nd 3.30-3.35, 5 Tm 3.42-3.50


Model ii:
First-principles (GGA-PBE) data for a relaxed Nd6YTm12 crystal, as listed in Alexandria via LeMat-Bulk.

As for the space-group type: R-3m (166).

Unit cell a=8.6817 b=8.6817 c=8.6817 alpha=98.67 beta=98.67 gamma=98.67
Last column: nearest neighbours and their distance in Å.
Fractional positions:
Nd (0.1552, 0.5986, 0.5986)  1 Nd 3.08, 1 Y 3.43
Nd (0.4014, 0.4014, 0.8448)  1 Nd 3.08, 1 Y 3.43
Nd (0.4014, 0.8448, 0.4014)  1 Nd 3.08, 1 Y 3.43
Nd (0.5986, 0.1552, 0.5986)  1 Nd 3.08, 1 Y 3.43
Nd (0.5986, 0.5986, 0.1552)  1 Nd 3.08, 1 Y 3.43
Nd (0.8448, 0.4014, 0.4014)  1 Nd 3.08, 1 Y 3.43
Y (0.5000, 0.5000, 0.5000)  6 Nd 3.43
Tm (0.0000, 0.2558, 0.7442)  6 Tm 3.33-3.51, 4 Nd 3.45-3.56
Tm (0.0000, 0.7442, 0.2558)  6 Tm 3.33-3.51, 4 Nd 3.45-3.56
Tm (0.1449, 0.1449, 0.4188)  6 Tm 3.33-3.61, 2 Nd 3.67
Tm (0.1449, 0.4188, 0.1449)  6 Tm 3.33-3.61, 2 Nd 3.67
Tm (0.2558, 0.0000, 0.7442)  6 Tm 3.33-3.51, 4 Nd 3.45-3.56
Tm (0.2558, 0.7442, 0.0000)  6 Tm 3.33-3.51, 4 Nd 3.45-3.56
Tm (0.4188, 0.1449, 0.1449)  6 Tm 3.33-3.61, 2 Nd 3.67
Tm (0.5812, 0.8551, 0.8551)  6 Tm 3.33-3.61, 2 Nd 3.67
Tm (0.7442, 0.0000, 0.2558)  6 Tm 3.33-3.51, 4 Nd 3.45-3.56
Tm (0.7442, 0.2558, 0.0000)  6 Tm 3.33-3.51, 4 Nd 3.45-3.56
Tm (0.8551, 0.5812, 0.8551)  6 Tm 3.33-3.61, 2 Nd 3.67
Tm (0.8551, 0.8551, 0.5812)  6 Tm 3.33-3.61, 2 Nd 3.67


The most stable arrangement is model i, and the next structure is 0.093 eV/atom less stable.


Model i:
First-principles (GGA-PBE) data for a relaxed Nd3Y2Tm6 crystal, as listed in Alexandria via LeMat-Bulk.

As for the space-group type: I4/mmm (139).

Unit cell a=16.9788 b=16.9788 c=16.9788 alpha=163.99 beta=163.99 gamma=22.72
Last column: nearest neighbours and their distance in Å.
Fractional positions:
Nd (0.0000, 0.0000, 0.0000)  8 Y 3.69
Nd (0.2048, 0.2048, 0.0000)  9 Tm 3.37-3.64
Nd (0.7952, 0.7952, 0.0000)  9 Tm 3.37-3.64
Y (0.4532, 0.4532, 0.0000)  1 Y 3.11, 4 Tm 3.44
Y (0.5468, 0.5468, 0.0000)  1 Y 3.11, 4 Tm 3.44
Tm (0.1217, 0.6217, 0.5000)  6 Tm 3.33-3.34, 2 Y 3.44, 2 Nd 3.64
Tm (0.3079, 0.3079, 0.0000)  4 Tm 3.33, 5 Nd 3.37-3.43
Tm (0.3783, 0.8783, 0.5000)  6 Tm 3.33-3.34, 2 Y 3.44, 2 Nd 3.64
Tm (0.6217, 0.1217, 0.5000)  6 Tm 3.33-3.34, 2 Y 3.44, 2 Nd 3.64
Tm (0.6921, 0.6921, 0.0000)  4 Tm 3.33, 5 Nd 3.37-3.43
Tm (0.8783, 0.3783, 0.5000)  6 Tm 3.33-3.34, 2 Y 3.44, 2 Nd 3.64


Model ii:
First-principles (GGA-PBE) data for a relaxed Nd3Y2Tm6 crystal, as listed in Alexandria via LeMat-Bulk.

As for the space-group type: C2/m (12).

Unit cell a=6.1495 b=6.1495 c=11.5650 alpha=95.11 beta=95.11 gamma=120.08
Last column: nearest neighbours and their distance in Å.
Fractional positions:
Nd (0.0000, 0.0000, 0.0000)  6 Tm 3.53, 6 Nd 3.54-3.57
Nd (0.3355, 0.6645, 0.0000)  6 Nd 3.51-3.57, 6 Tm 3.52-3.55
Nd (0.6645, 0.3355, 0.0000)  6 Nd 3.51-3.57, 6 Tm 3.52-3.55
Y (0.1662, 0.8338, 0.5000)  6 Tm 3.48, 3 Y 3.54-3.55
Y (0.8338, 0.1662, 0.5000)  6 Tm 3.48, 3 Y 3.54-3.55
Tm (0.0847, 0.4177, 0.2530)  2 Y 3.48, 3 Nd 3.53-3.55, 6 Tm 3.54-3.55
Tm (0.2494, 0.2494, 0.7473)  2 Y 3.48, 3 Nd 3.52-3.53, 6 Tm 3.54-3.55
Tm (0.4177, 0.0847, 0.2530)  2 Y 3.48, 3 Nd 3.53-3.55, 6 Tm 3.54-3.55
Tm (0.5823, 0.9153, 0.7470)  2 Y 3.48, 3 Nd 3.53-3.55, 6 Tm 3.54-3.55
Tm (0.7506, 0.7506, 0.2527)  2 Y 3.48, 3 Nd 3.52-3.53, 6 Tm 3.54-3.55
Tm (0.9153, 0.5823, 0.7470)  2 Y 3.48, 3 Nd 3.53-3.55, 6 Tm 3.54-3.55


The most stable arrangement is model ii, and the next structure is 0.072 eV/atom less stable.